A plane-wave DFT calculation with PBE was carried out for NaBi3Rh after structural relaxation.

The space group is P2_1/c (No. 14) and the conventional cell measures 8.341, 7.110 and 10.785 Å, with angles of 90.00, 118.67 and 90.00 degrees. The inequivalent atoms are Na at (0.086, 0.225, 0.055), Bi at (0.193, 0.504, 0.326), Bi at (0.274, 0.521, 0.914), Bi at (0.430, 0.658, 0.672) and Rh at (0.466, 0.189, 0.051).

The value obtained for the density is 8.91 Mg/m³. Its calculated formation energy is -0.16 eV per atom. The relative energy among the computed polymorphs comes out at 0 meV per atom. The density of states at the Fermi level comes out at 0.479 states/eV/atom.